A plane-wave DFT calculation with GGA-PBE was carried out for Li2TcNi after structural relaxation.

ΔH_f (0 K) ... 0.342 eV per formula unit
DOS(E_F) ... 3.61 states/eV/cell
Energy above the most stable polymorph in this dataset ... 0.0000 eV per atom

Geometry as POSCAR:
```
Li2TcNi
1.0
-2.338 0.627 1.005
-1.181 -1.411 -1.866
0.293 -6.539 4.759
Li Ni Tc
2 1 1
Cartesian
0.289 -6.441 4.688
-1.675 -2.271 0.937
0.148 -3.306 2.406
-1.548 -5.113 3.005
```


A plane-wave DFT calculation with GGA-PBE was carried out for K2MgTaO4 after structural relaxation.

Raw formation energy ... -2.21 eV per atom
DOS(E_F) ... 1.38 states/eV/cell

Geometry as POSCAR:
```
K2MgTaO4
1.0
5.728 -0.058 -0.089
-2.493 5.158 0.089
-2.493 -1.994 4.757
K Mg Ta O
2 1 1 4
Cartesian
0.371 3.341 1.212
0.000 0.000 0.000
0.371 -0.235 3.546
-2.493 1.582 2.423
1.474 0.752 2.210
-1.564 0.072 3.179
3.288 2.411 0.624
-1.713 2.976 3.501
```